Entry 1:
The following is a DFT calculation (GGA-PBE) of a relaxed structure of Dy4TmNi4.

Results
- N(E_F) (states/eV per cell) = 14.48
- energy of formation from the pure elements (eV per atom) = -0.27
- total magnetization (μB/f.u.) = 0.000

a = 8.4611 Å, b = 8.4611 Å, c = 5.6154 Å
α = 90.00°, β = 90.00°, γ = 90.00°
Positions (direct):
Dy  0.0625  0.6663  0.1484
Dy  0.1663  0.9375  0.6484
Dy  0.3337  0.5625  0.6484
Dy  0.4375  0.8337  0.1484
Dy  0.5625  0.1663  0.8516
Dy  0.6663  0.4375  0.3516
Dy  0.8337  0.0625  0.3516
Dy  0.9375  0.3337  0.8516
Tm  0.2500  0.2500  0.2500
Tm  0.7500  0.7500  0.7500
Ni  0.0218  0.6190  0.6338
Ni  0.1190  0.9782  0.1338
Ni  0.3810  0.5218  0.1338
Ni  0.4782  0.8810  0.6338
Ni  0.5218  0.1190  0.3662
Ni  0.6190  0.4782  0.8662
Ni  0.8810  0.0218  0.8662
Ni  0.9782  0.3810  0.3662

Entry 2:
The following is a DFT calculation (GGA-PBE) of a relaxed structure of Dy4TmNi2.

Results
- N(E_F) (states/eV per cell) = 17.18
- energy of formation from the pure elements (eV per atom) = -0.15
- total magnetization (μB/f.u.) = 0.000

a = 7.4663 Å, b = 6.3343 Å, c = 7.9071 Å
α = 90.00°, β = 112.33°, γ = 90.00°
Positions (direct):
Dy  0.0274  0.2500  0.3873
Dy  0.2489  0.7500  0.3423
Dy  0.4072  0.0046  0.7693
Dy  0.4072  0.4954  0.7693
Dy  0.5928  0.5046  0.2307
Dy  0.5928  0.9954  0.2307
Dy  0.7511  0.2500  0.6577
Dy  0.9726  0.7500  0.6127
Tm  0.1520  0.2500  0.0301
Tm  0.8480  0.7500  0.9699
Ni  0.2510  0.7500  0.9942
Ni  0.3820  0.2500  0.4104
Ni  0.6180  0.7500  0.5896
Ni  0.7490  0.2500  0.0058

Entry 3:
The following is a DFT calculation (GGA-PBE) of a relaxed structure of DyTm3Ni.

Results
- N(E_F) (states/eV per cell) = 8.52
- energy of formation from the pure elements (eV per atom) = -0.07
- total magnetization (μB/f.u.) = 0.000

a = 5.2316 Å, b = 5.2316 Å, c = 5.2316 Å
α = 90.00°, β = 90.00°, γ = 90.00°
Positions (direct):
Dy  0.0000  0.0000  0.0000
Tm  0.0000  0.5000  0.5000
Tm  0.5000  0.0000  0.5000
Tm  0.5000  0.5000  0.0000
Ni  0.5000  0.5000  0.5000

Entry 4:
The following is a DFT calculation (GGA-PBE) of a relaxed structure of DyTm6Ni2.

Results
- N(E_F) (states/eV per cell) = 26.65
- energy of formation from the pure elements (eV per atom) = -0.14
- total magnetization (μB/f.u.) = 0.000

a = 8.4317 Å, b = 8.4317 Å, c = 8.4317 Å
α = 115.56°, β = 107.19°, γ = 105.84°
Positions (direct):
Dy  0.0000  0.0000  0.0000
Dy  0.5000  0.5000  0.0000
Tm  0.0036  0.2242  0.7794
Tm  0.1924  0.3017  0.4940
Tm  0.1924  0.6983  0.8907
Tm  0.3092  0.0079  0.6987
Tm  0.3092  0.6105  0.3013
Tm  0.4449  0.2242  0.2206
Tm  0.5551  0.7758  0.7794
Tm  0.6908  0.3895  0.6987
Tm  0.6908  0.9921  0.3013
Tm  0.8076  0.3017  0.1093
Tm  0.8076  0.6983  0.5060
Tm  0.9964  0.7758  0.2206
Ni  0.1194  0.6194  0.5000
Ni  0.3706  0.0000  0.3706
Ni  0.6294  0.0000  0.6294
Ni  0.8806  0.3806  0.5000

Entry 5:
The following is a DFT calculation (GGA-PBE) of a relaxed structure of DyTm2Ni.

Results
- N(E_F) (states/eV per cell) = 4.83
- energy of formation from the pure elements (eV per atom) = -0.09
- energy relative to the lowest polymorph listed for this composition (eV per atom) = 0.1745
- total magnetization (μB/f.u.) = 0.000

a = 9.5659 Å, b = 9.5659 Å, c = 9.5659 Å
α = 21.76°, β = 21.76°, γ = 21.76°
Positions (direct):
Dy  0.0000  0.0000  0.0000
Tm  0.2273  0.2273  0.2273
Tm  0.7727  0.7727  0.7727
Ni  0.5000  0.5000  0.5000

Entry 6:
The following is a DFT calculation (GGA-PBE) of a relaxed structure of DyTm2Ni.

Results
- N(E_F) (states/eV per cell) = 11.89
- energy of formation from the pure elements (eV per atom) = -0.23
- energy relative to the lowest polymorph listed for this composition (eV per atom) = 0.0347
- total magnetization (μB/f.u.) = 0.002

a = 6.2104 Å, b = 6.2104 Å, c = 9.4418 Å
α = 90.00°, β = 90.00°, γ = 146.42°
Positions (direct):
Dy  0.0812  0.9188  0.7500
Dy  0.9188  0.0812  0.2500
Tm  0.3629  0.6371  0.5702
Tm  0.3629  0.6371  0.9298
Tm  0.6371  0.3629  0.0702
Tm  0.6371  0.3629  0.4298
Ni  0.2376  0.7624  0.2500
Ni  0.7624  0.2376  0.7500